# 1
The following is a PBE calculation of crystalline LaSi2P at its relaxed geometry, from Alexandria via LeMat-Bulk.

Cell lengths 8.285, 8.285, 8.285 Å; angles 23.85, 23.85, 23.85 degrees
Fractional coordinates of all 4 atoms:
La1 0.250 0.250 0.250
P1 0.750 0.750 0.750
Si1 0.022 0.022 0.022
Si2 0.478 0.478 0.478

Results
total energy	-5.238	eV/atom
space group	R-3m (166)
energy relative to the elements, uncorrected	0.232	eV per formula unit
size of the total moment	0.0	Bohr magnetons per cell



# 2
The following is a PBE calculation of crystalline Pm6OsPt2 at its relaxed geometry, from Alexandria via LeMat-Bulk.

Cell lengths 6.804, 7.476, 10.371 Å; angles 90.00, 86.43, 90.00 degrees
Fractional coordinates of all 18 atoms:
Pm1 0.160 0.047 0.250
Pm2 0.175 0.320 0.575
Pm3 0.169 0.319 0.932
Pm4 0.331 0.819 0.568
Pm5 0.325 0.820 0.925
Pm6 0.340 0.547 0.250
Pm7 0.840 0.953 0.750
Pm8 0.825 0.680 0.425
Pm9 0.831 0.681 0.068
Pm10 0.669 0.181 0.432
Pm11 0.675 0.180 0.075
Pm12 0.660 0.453 0.750
Os1 0.500 0.500 0.000
Os2 0.000 0.000 0.500
Pt1 0.055 0.615 0.766
Pt2 0.445 0.115 0.734
Pt3 0.555 0.885 0.266
Pt4 0.945 0.385 0.234

Results
energy of formation from the pure elements	-5.06	eV per formula unit
total energy	-6.319	eV/atom
space group	P2_1/c (14)
size of the total moment	0.0	Bohr magnetons per cell



# 3
The following is a PBE calculation of crystalline Pa2Al3Ga at its relaxed geometry, from Alexandria via LeMat-Bulk.

Cell lengths 5.587, 5.587, 5.394 Å; angles 90.11, 121.02, 120.04 degrees
Fractional coordinates of all 6 atoms:
Pa1 0.780 0.389 0.169
Pa2 0.220 0.611 0.831
Al1 0.500 0.500 0.500
Al2 0.000 0.000 0.500
Al3 0.500 0.000 0.500
Ga1 0.000 0.000 0.000

Results
energy of formation from the pure elements	-1.94	eV per formula unit
total energy	-5.865	eV/atom
space group	C2/m (12)
size of the total moment	0.0	Bohr magnetons per cell
energy relative to the lowest polymorph listed for this composition	0.00	eV/f.u.